Density functional theory data (GGA-PBEsol) for a relaxed structure of SrTl2Os.

Results
**Calculated density**: 12.425 g/cm3
**DFT total energy**: -4.191 eV per atom
**ΔH_f (0 K)**: 0.64 eV/atom
**Spin magnetization**: 0.05 μB/f.u.

Cell lengths 4.4940, 4.4940, 4.5436 Å; angles 90.00, 90.00, 90.00 degrees
Last column: nearest neighbours and their distance in Å.
Atoms (fractional coordinates):
Os: 0.5000 0.5000 0.5000  4 Sr 3.18, 8 Tl 3.20
Sr: 0.0000 0.0000 0.5000  4 Os 3.18, 8 Tl 3.20
Tl: 0.0000 0.5000 0.0000  4 Tl 3.18, 4 Os 3.20, 4 Sr 3.20
Tl: 0.5000 0.0000 0.0000  4 Tl 3.18, 4 Os 3.20, 4 Sr 3.20